Entry 1:
VASP calculation (PBE) on a relaxed Na2YMn crystal.

```
Na2YMn
1.0
7.168 0.000 0.000
0.000 7.168 0.000
0.000 0.000 7.168
Na Y Mn
8 4 4
direct
0.250 0.250 0.250 Na
0.250 0.250 0.750 Na
0.250 0.750 0.250 Na
0.250 0.750 0.750 Na
0.750 0.250 0.250 Na
0.750 0.250 0.750 Na
0.750 0.750 0.250 Na
0.750 0.750 0.750 Na
0.000 0.000 0.000 Y
0.000 0.500 0.500 Y
0.500 0.000 0.500 Y
0.500 0.500 0.000 Y
0.000 0.000 0.500 Mn
0.000 0.500 0.000 Mn
0.500 0.000 0.000 Mn
0.500 0.500 0.500 Mn
```

Values from the calculation:
* polymorph energy (0 for the lowest one): 322 meV per atom
* total DFT energy (no corrections): -54.44 eV per cell


Entry 2:
VASP calculation (PBE) on a relaxed NaY3Mn crystal.

```
NaY3Mn
1.0
5.361 0.000 0.000
0.000 5.361 0.000
0.000 0.000 5.361
Na Y Mn
1 3 1
direct
0.000 0.000 0.000 Na
0.000 0.500 0.500 Y
0.500 0.000 0.500 Y
0.500 0.500 0.000 Y
0.500 0.500 0.500 Mn
```

Values from the calculation:
* total DFT energy (no corrections): -28.53 eV per cell


Entry 3:
VASP calculation (PBE) on a relaxed NaYMn3 crystal.

```
NaYMn3
1.0
4.808 0.000 0.000
0.000 4.808 0.000
0.000 0.000 4.808
Na Y Mn
1 1 3
direct
0.000 0.000 0.000 Na
0.500 0.500 0.500 Y
0.000 0.000 0.500 Mn
0.000 0.500 0.000 Mn
0.500 0.000 0.000 Mn
```

Values from the calculation:
* polymorph energy (0 for the lowest one): 0 meV per atom
* total DFT energy (no corrections): -29.12 eV per cell